Entry 1
Material: TbFeC
Method: DFT, PBE
State: relaxed

Total magnetization in μB per formula unit: 0.70
DOS at the Fermi energy in states/eV/cell: 5.64

a = 3.3257 Å, b = 5.6568 Å, c = 5.2798 Å
α = 107.95°, β = 108.36°, γ = 90.00°
With the nearest neighbours (Å) after each atom.
Positions (direct):
Tb: 0.8986 0.6803 0.7972  3 C 2.46-2.57
Tb: 0.1014 0.3197 0.2028  3 C 2.46-2.57
Fe: 0.6710 0.8733 0.3420  3 C 1.90-1.93
Fe: 0.3290 0.1267 0.6580  3 C 1.90-1.93
C: 0.2268 0.7720 0.4535  3 Fe 1.90-1.93
C: 0.7732 0.2280 0.5465  3 Fe 1.90-1.93


Entry 2
Material: TbFeC
Method: DFT, PBE
State: relaxed

Total magnetization in μB per formula unit: 0.08
DOS at the Fermi energy in states/eV/cell: 3.14

a = 4.0870 Å, b = 3.4090 Å, c = 3.4090 Å
α = 120.00°, β = 90.00°, γ = 90.00°
With the nearest neighbours (Å) after each atom.
Positions (direct):
C: 0.1664 0.0000 0.0000  3 Fe 1.97
Tb: 0.6669 0.6667 0.3333  6 C 2.84, 6 Fe 2.84
Fe: 0.1667 0.3333 0.6667  3 C 1.97


Entry 3
Material: TbFeC
Method: DFT, PBE
State: relaxed

Total magnetization in μB per formula unit: 1.01
DOS at the Fermi energy in states/eV/cell: 8.40

a = 5.0434 Å, b = 5.9499 Å, c = 5.2016 Å
α = 90.00°, β = 90.00°, γ = 90.00°
With the nearest neighbours (Å) after each atom.
Positions (direct):
Fe: 0.9097 0.2500 0.9121  4 C 2.10-2.21
Fe: 0.4097 0.7500 0.0879  4 C 2.10-2.21
Fe: 0.9097 0.7500 0.0879  4 C 2.10-2.21
Fe: 0.4097 0.2500 0.9121  4 C 2.10-2.21
Tb: 0.1597 0.0863 0.3529  5 C 2.53-2.76, 4 Fe 2.74-2.79
Tb: 0.6597 0.9137 0.6471  5 C 2.53-2.76, 4 Fe 2.74-2.79
Tb: 0.1597 0.5863 0.6471  5 C 2.53-2.76, 4 Fe 2.74-2.79
Tb: 0.6597 0.4137 0.3529  5 C 2.53-2.76, 4 Fe 2.74-2.79
C: 0.1597 0.4730 0.1499  4 Fe 2.10-2.21
C: 0.6597 0.5270 0.8501  4 Fe 2.10-2.21
C: 0.1597 0.9730 0.8501  4 Fe 2.10-2.21
C: 0.6597 0.0270 0.1499  4 Fe 2.10-2.21


Entry 4
Material: TbFeC
Method: DFT, PBE
State: relaxed

Total magnetization in μB per formula unit: 0.59
DOS at the Fermi energy in states/eV/cell: 4.72

a = 3.2613 Å, b = 5.5078 Å, c = 5.4896 Å
α = 108.89°, β = 90.00°, γ = 90.00°
With the nearest neighbours (Å) after each atom.
Positions (direct):
Tb: 0.7500 0.6700 0.7918  3 C 2.46-2.50
Tb: 0.2500 0.3300 0.2082  3 C 2.46-2.50
Fe: 0.7500 0.8558 0.3612  3 C 1.90-1.92
Fe: 0.2500 0.1442 0.6388  3 C 1.90-1.92
C: 0.7500 0.2232 0.5039  3 Fe 1.90-1.92
C: 0.2500 0.7768 0.4961  3 Fe 1.90-1.92


Which of them is most stable, and which least? Most stable: entry 1; least stable: entry 3.


Entry 1
Material: TbFe2C
Method: DFT, PBE
State: relaxed

Total magnetization in μB per formula unit: 1.52
DOS at the Fermi energy in states/eV/cell: 6.16

a = 3.4324 Å, b = 3.5269 Å, c = 9.0687 Å
α = 90.00°, β = 100.91°, γ = 90.00°
With the nearest neighbours (Å) after each atom.
Positions (direct):
Tb: 0.3840 0.2500 0.7680  8 Fe 2.83-2.97, 4 C 2.85
Tb: 0.6160 0.7500 0.2320  8 Fe 2.83-2.97, 4 C 2.85
Fe: 0.7499 0.2500 0.4997  4 C 1.96-2.00
Fe: 0.2501 0.7500 0.5003  4 C 1.96-2.00
Fe: 0.0374 0.2500 0.0748  2 Fe 2.21
Fe: 0.9626 0.7500 0.9252  2 Fe 2.21
C: 0.1968 0.2500 0.3935  4 Fe 1.96-2.00
C: 0.8032 0.7500 0.6065  4 Fe 1.96-2.00


Entry 2
Material: TbFe2C
Method: DFT, PBE
State: relaxed

Total magnetization in μB per formula unit: 2.10
DOS at the Fermi energy in states/eV/cell: 4.47

a = 3.0574 Å, b = 3.0574 Å, c = 7.0035 Å
α = 77.39°, β = 77.39°, γ = 60.00°
With the nearest neighbours (Å) after each atom.
Positions (direct):
C: 0.0000 0.0000 0.0000  6 Fe 1.97
Tb: 0.5000 0.5000 0.5000  6 Tb 3.06, 6 Fe 3.06
Fe: 0.7102 0.7102 0.8695  3 C 1.97
Fe: 0.2898 0.2898 0.1305  3 C 1.97


Which of them is most stable, and which least? Most stable: entry 1; least stable: entry 2.


Entry 1
Material: FeTcC3
Method: DFT, PBE
State: relaxed

Total magnetization in μB per formula unit: 2.41
DOS at the Fermi energy in states/eV/cell: 7.28

a = 3.6978 Å, b = 3.6978 Å, c = 3.6978 Å
α = 90.00°, β = 90.00°, γ = 90.00°
With the nearest neighbours (Å) after each atom.
Positions (direct):
C: 0.0000 0.5000 0.0000  2 Fe 1.85
C: 0.0000 0.0000 0.5000  2 Fe 1.85
C: 0.5000 0.0000 0.0000  2 Fe 1.85
Tc: 0.5000 0.5000 0.5000  12 C 2.61
Fe: 0.0000 0.0000 0.0000  6 C 1.85


Entry 2
Material: FeTcC3
Method: DFT, PBE
State: relaxed

Total magnetization in μB per formula unit: 2.78
DOS at the Fermi energy in states/eV/cell: 8.94

a = 3.9765 Å, b = 3.9765 Å, c = 3.9765 Å
α = 90.00°, β = 90.00°, γ = 90.00°
With the nearest neighbours (Å) after each atom.
Positions (direct):
C: 0.0000 0.5000 0.0000  2 Tc 1.99
C: 0.0000 0.0000 0.5000  2 Tc 1.99
C: 0.5000 0.0000 0.0000  2 Tc 1.99
Tc: 0.0000 0.0000 0.0000  6 C 1.99
Fe: 0.5000 0.5000 0.5000  12 C 2.81


Which of them is most stable, and which least? Most stable: entry 1; least stable: entry 2.


Entry 1
Material: FeTc3C
Method: DFT, PBE
State: relaxed

Total magnetization in μB per formula unit: 1.91
DOS at the Fermi energy in states/eV/cell: 7.78

a = 4.1335 Å, b = 4.9032 Å, c = 7.1721 Å
α = 72.95°, β = 73.25°, γ = 65.07°
With the nearest neighbours (Å) after each atom.
Positions (direct):
Fe: 0.3854 0.7930 0.4361  7 Tc 2.58-2.65, 1 Fe 2.58
Fe: 0.6146 0.2070 0.5639  7 Tc 2.58-2.65, 1 Fe 2.58
Tc: 0.8657 0.0449 0.2238  2 C 2.05-2.12
Tc: 0.1343 0.9551 0.7762  2 C 2.05-2.12
Tc: 0.6246 0.6783 0.0725  3 C 2.07-2.08
Tc: 0.3754 0.3217 0.9275  3 C 2.07-2.08
Tc: 0.8638 0.6116 0.6608  1 C 2.07
Tc: 0.1362 0.3884 0.3392  1 C 2.07
C: 0.1185 0.6935 0.0695  6 Tc 2.05-2.12
C: 0.8815 0.3065 0.9305  6 Tc 2.05-2.12


Entry 2
Material: FeTc3C
Method: DFT, PBE
State: relaxed

Total magnetization in μB per formula unit: 0.00
DOS at the Fermi energy in states/eV/cell: 6.10

a = 4.0028 Å, b = 4.0028 Å, c = 4.0028 Å
α = 90.00°, β = 90.00°, γ = 90.00°
With the nearest neighbours (Å) after each atom.
Positions (direct):
C: 0.0000 0.0000 0.0000  6 Tc 2.00
Tc: 0.0000 0.5000 0.0000  2 C 2.00
Tc: 0.0000 0.0000 0.5000  2 C 2.00
Tc: 0.5000 0.0000 0.0000  2 C 2.00
Fe: 0.5000 0.5000 0.5000  12 Tc 2.83


Entry 3
Material: FeTc3C
Method: DFT, PBE
State: relaxed

Total magnetization in μB per formula unit: 1.53
DOS at the Fermi energy in states/eV/cell: 6.35

a = 4.3684 Å, b = 4.3684 Å, c = 4.3684 Å
α = 90.00°, β = 90.00°, γ = 90.00°
With the nearest neighbours (Å) after each atom.
Positions (direct):
C: 0.5000 0.5000 0.5000  12 Tc 3.09
Tc: 0.0000 0.5000 0.0000  2 Fe 2.18
Tc: 0.0000 0.0000 0.5000  2 Fe 2.18
Tc: 0.5000 0.0000 0.0000  2 Fe 2.18
Fe: 0.0000 0.0000 0.0000  6 Tc 2.18


Which of them is most stable, and which least? Most stable: entry 1; least stable: entry 3.